The following is a DFT calculation (PBE) of Hg2PbBrO2 after structural relaxation.

```
12
Lattice="5.926 0.000 0.000 0.000 5.974 -0.110 0.000 -2.323 7.748" Properties=species:S:1:pos:R:3 pbc="T T T"
Hg 4.444 2.432 1.900
O 0.009 2.907 6.449
Pb 4.444 5.054 0.463
O 2.972 0.744 1.188
Br 4.444 0.186 4.491
Hg 1.481 1.219 5.737
O 2.953 2.907 6.449
O 5.916 0.744 1.188
Hg 1.481 0.370 3.000
Hg 4.444 3.281 4.638
Br 1.481 3.465 3.147
Pb 1.481 -1.403 7.175
```

Summary:
space group: No. 11
density of states at the Fermi level: 0.171 states/eV per atom

***

The following is a DFT calculation (PBE) of HgPdBrO2 after structural relaxation.

```
5
Lattice="3.847 0.000 0.000 0.000 7.463 0.000 0.000 0.000 3.847" Properties=species:S:1:pos:R:3 pbc="T T T"
O 1.924 0.000 0.000
Hg 0.000 3.732 0.000
Br 0.000 0.000 0.000
Pd 1.924 3.732 1.924
O 0.000 0.000 1.924
```

Summary:
space group: No. 123
density of states at the Fermi level: 0.479 states/eV per atom

***

The following is a DFT calculation (PBE) of PmHgBrO after structural relaxation.

```
8
Lattice="-2.228 3.348 -0.330 -2.903 -1.713 2.218 5.817 5.003 11.475" Properties=species:S:1:pos:R:3 pbc="T T T"
O -2.397 2.083 0.307
Br -2.660 2.248 3.760
Br 3.346 4.390 9.603
Hg 0.174 2.054 7.319
Hg 0.512 4.584 6.044
Pm 1.478 5.808 11.923
Pm -0.792 0.831 1.440
O -2.734 -0.447 1.581
```

Summary:
space group: No. 129
density of states at the Fermi level: 0.074 states/eV per atom

***

The following is a DFT calculation (PBE) of HgPt2BrO after structural relaxation.

```
5
Lattice="-3.724 3.623 0.019 -3.636 -3.733 -0.694 -0.465 -0.505 5.150" Properties=species:S:1:pos:R:3 pbc="T T T"
Hg 0.000 0.000 0.000
Pt -0.233 -0.252 2.575
O -3.912 -0.307 2.237
Pt -1.862 1.812 0.009
Br -1.818 -1.867 -0.347
```

Summary:
space group: No. 123
density of states at the Fermi level: 2.362 states/eV per atom

***

Number 1: uncorrected formation energy -2.86 eV/f.u.. Number 2: uncorrected formation energy 3.03 eV/f.u.. Number 3: uncorrected formation energy -8.42 eV/f.u.. Number 4: uncorrected formation energy 9.01 eV/f.u..